A relaxed structure of BeFe2Sb. Source: the Open Quantum Materials Database, functional PBE.

Unit cell a=5.7839 b=5.7839 c=5.7839 alpha=90.00 beta=90.00 gamma=90.00
Atoms (fractional coordinates):
Be: 0.0000 0.0000 0.0000
Be: 0.0000 0.0000 0.5000
Be: 0.0000 0.5000 0.0000
Be: 0.5000 0.0000 0.0000
Fe: 0.2366 0.2366 0.2366
Fe: 0.2366 0.2366 0.7634
Fe: 0.2366 0.7634 0.2366
Fe: 0.2366 0.7634 0.7634
Fe: 0.7634 0.2366 0.2366
Fe: 0.7634 0.2366 0.7634
Fe: 0.7634 0.7634 0.2366
Fe: 0.7634 0.7634 0.7634
Sb: 0.0000 0.5000 0.5000
Sb: 0.5000 0.0000 0.5000
Sb: 0.5000 0.5000 0.0000
Sb: 0.5000 0.5000 0.5000

Summary:
E   -93.66 eV per cell
Symmetry   No. 221
V   193.5 Å³/cell

***

A relaxed structure of BeFe2Sb. Source: the Open Quantum Materials Database, functional PBE.

Unit cell a=4.1814 b=4.1814 c=4.1814 alpha=60.00 beta=60.00 gamma=60.00
Atoms (fractional coordinates):
Be: 0.0000 0.0000 0.0000
Fe: 0.5000 0.5000 0.5000
Fe: 0.7500 0.7500 0.7500
Sb: 0.2500 0.2500 0.2500

Summary:
E   -23.41 eV per cell
Symmetry   No. 216
V   51.7 Å³/cell

***

A relaxed structure of BeTlFeSb. Source: the Open Quantum Materials Database, functional PBE.

Unit cell a=4.6968 b=4.6968 c=4.6968 alpha=60.00 beta=60.00 gamma=60.00
Atoms (fractional coordinates):
Be: 0.0000 0.0000 0.0000
Tl: 0.2500 0.2500 0.2500
Fe: 0.5000 0.5000 0.5000
Sb: 0.7500 0.7500 0.7500

Summary:
E   -15.59 eV per cell
Symmetry   No. 216
Distance to the lowest polymorph of the same formula   0 meV/atom
V   73.3 Å³/cell